# 1
Entry from Alexandria via LeMat-Bulk: an optimized crystal structure of CeSbPbAu (PBE-GGA).

For the uncorrected formation energy, the calculation gives -0.4445 eV/atom. The crystal system is cubic.

The structure belongs to space group F-43m (No. 216); the cell edges are 7.5454, 7.5454 and 7.5454 Å and the angles 90.00°, 90.00° and 90.00°. The asymmetric unit holds Ce at (0.0000, 0.0000, 0.0000), Sb at (0.2500, 0.2500, 0.2500), Pb at (0.0000, 0.0000, 0.5000) and Au at (0.2500, 0.2500, 0.7500).

# 2
Entry from Alexandria via LeMat-Bulk: an optimized crystal structure of CeScPbAu (PBE-GGA).

The energy relative to the elements is -0.471 eV per atom. The crystal system is cubic.

The structure belongs to space group F-43m (No. 216); the cell edges are 7.3896, 7.3896 and 7.3896 Å and the angles 90.00°, 90.00° and 90.00°. The asymmetric unit holds Ce at (0.0000, 0.0000, 0.0000), Sc at (0.0000, 0.0000, 0.5000), Pb at (0.2500, 0.2500, 0.2500) and Au at (0.2500, 0.2500, 0.7500).

# 3
Entry from Alexandria via LeMat-Bulk: an optimized crystal structure of CeSi2Pb2Au7 (PBE-GGA).

For the uncorrected formation energy, the calculation gives -0.2122 eV/atom. The crystal system is monoclinic.

The structure belongs to space group C2/m (No. 12); the cell edges are 6.9618, 6.8843 and 11.6465 Å and the angles 90.00°, 100.29° and 90.00°. The asymmetric unit holds Ce at (0.0000, 0.0000, 0.0000), Si at (0.1861, 0.5000, 0.2108), Pb at (0.1277, 0.0000, 0.3847), Au at (0.0000, 0.5000, 0.0000), Au at (0.0774, 0.5000, 0.3992) and Au at (0.1422, 0.2915, 0.8178).

# 4
Entry from Alexandria via LeMat-Bulk: an optimized crystal structure of CeSmPbAu (PBE-GGA).

The energy relative to the elements is -0.528 eV per atom. The crystal system is cubic.

The structure belongs to space group F-43m (No. 216); the cell edges are 7.6338, 7.6338 and 7.6338 Å and the angles 90.00°, 90.00° and 90.00°. The asymmetric unit holds Ce at (0.0000, 0.0000, 0.0000), Sm at (0.0000, 0.0000, 0.5000), Pb at (0.2500, 0.2500, 0.2500) and Au at (0.2500, 0.2500, 0.7500).

# 5
Entry from Alexandria via LeMat-Bulk: an optimized crystal structure of CeThPbAu (PBE-GGA).

The energy relative to the elements is -0.370 eV per atom. The crystal system is cubic.

The structure belongs to space group F-43m (No. 216); the cell edges are 7.6717, 7.6717 and 7.6717 Å and the angles 90.00°, 90.00° and 90.00°. The asymmetric unit holds Ce at (0.0000, 0.0000, 0.0000), Th at (0.0000, 0.0000, 0.5000), Pb at (0.2500, 0.2500, 0.2500) and Au at (0.2500, 0.2500, 0.7500).

# 6
Entry from Alexandria via LeMat-Bulk: an optimized crystal structure of CeTmPbAu (PBE-GGA).

The energy relative to the elements is -0.507 eV per atom. The crystal system is cubic.

The structure belongs to space group F-43m (No. 216); the cell edges are 7.5192, 7.5192 and 7.5192 Å and the angles 90.00°, 90.00° and 90.00°. The asymmetric unit holds Ce at (0.0000, 0.0000, 0.0000), Tm at (0.0000, 0.0000, 0.5000), Pb at (0.2500, 0.2500, 0.2500) and Au at (0.2500, 0.2500, 0.7500).

# 7
Entry from Alexandria via LeMat-Bulk: an optimized crystal structure of CePd6Au6 (PBE-GGA).

The energy relative to the elements is -0.264 eV per atom. The crystal system is orthorhombic.

The structure belongs to space group Immm (No. 71); the cell edges are 5.4826, 9.2537 and 9.3416 Å and the angles 90.00°, 90.00° and 90.00°. The asymmetric unit holds Ce at (0.0000, 0.0000, 0.0000), Pd at (0.0000, 0.2709, 0.5000), Pd at (0.2500, 0.2500, 0.2500), Au at (0.0000, 0.0000, 0.3456), Au at (0.0000, 0.3389, 0.0000) and Au at (0.0000, 0.5000, 0.3028).

# 8
Entry from Alexandria via LeMat-Bulk: an optimized crystal structure of CePdAu4 (PBE-GGA).

The calculation puts the energy above the most stable polymorph in this dataset at 157 meV per atom. The energy relative to the elements is -0.282 eV per atom. The crystal system is orthorhombic.

The structure belongs to space group Cmcm (No. 63); the cell edges are 5.1059, 12.9470 and 7.8926 Å and the angles 90.00°, 90.00° and 90.00°. The asymmetric unit holds Ce at (0.0000, 0.1273, 0.2500), Pd at (0.0000, 0.3467, 0.2500), Au at (0.0000, 0.0903, 0.7500), Au at (0.0000, 0.2850, 0.5759) and Au at (0.0000, 0.5000, 0.0000).

no.,DOS at the Fermi energy (states/eV/cell)
1,24.644
2,42.246
3,20.678
4,39.614
5,41.186
6,41.957
7,25.427
8,34.593